VASP calculation (GGA-PBE) on crystalline NaYGePd at its relaxed geometry.

a = 4.910 Å, b = 4.910 Å, c = 4.910 Å
α = 60.00°, β = 60.00°, γ = 60.00°
Positions (direct):
Pd 0.500 0.500 0.500
Na 0.750 0.750 0.750
Ge 0.000 0.000 0.000
Y 0.250 0.250 0.250

DFT total energy	-4.828	eV per atom
volume	83.7	Å³ per cell

VASP calculation (GGA-PBE) on crystalline Na4ZnGePd2 at its relaxed geometry.

a = 4.761 Å, b = 4.761 Å, c = 6.609 Å
α = 90.00°, β = 90.00°, γ = 90.00°
Positions (direct):
Zn 0.500 0.500 0.500
Na 0.000 0.500 0.746
Na 0.500 0.000 0.254
Na 0.000 0.000 0.500
Na 0.500 0.500 0.000
Pd 0.000 0.500 0.237
Pd 0.500 0.000 0.763
Ge 0.000 0.000 0.000

DFT total energy	-2.799	eV per atom
volume	149.8	Å³ per cell

VASP calculation (GGA-PBE) on crystalline NaZnGe2Pd at its relaxed geometry.

a = 6.139 Å, b = 6.139 Å, c = 6.139 Å
α = 139.72°, β = 139.72°, γ = 58.28°
Positions (direct):
Na 0.000 0.000 0.000
Ge 0.617 0.617 0.000
Ge 0.383 0.383 0.000
Zn 0.250 0.750 0.500
Pd 0.750 0.250 0.500

DFT total energy	-3.628	eV per atom
volume	95.9	Å³ per cell

VASP calculation (GGA-PBE) on crystalline NaPmGe at its relaxed geometry.

a = 4.967 Å, b = 4.967 Å, c = 4.967 Å
α = 60.00°, β = 60.00°, γ = 60.00°
Positions (direct):
Pm 0.000 0.000 0.000
Na 0.750 0.750 0.750
Ge 0.250 0.250 0.250

DFT total energy	-3.534	eV per atom
volume	86.7	Å³ per cell

VASP calculation (GGA-PBE) on crystalline NaPmGe at its relaxed geometry.

a = 4.952 Å, b = 4.952 Å, c = 4.952 Å
α = 60.00°, β = 60.00°, γ = 60.00°
Positions (direct):
Pm 0.750 0.750 0.750
Ge 0.000 0.000 0.000
Na 0.250 0.250 0.250

DFT total energy	-3.937	eV per atom
volume	85.9	Å³ per cell

VASP calculation (GGA-PBE) on crystalline NaPrGe at its relaxed geometry.

a = 4.795 Å, b = 4.795 Å, c = 4.795 Å
α = 60.00°, β = 60.00°, γ = 60.00°
Positions (direct):
Ge 0.250 0.250 0.250
Na 0.000 0.000 0.000
Pr 0.750 0.750 0.750

DFT total energy	-3.604	eV per atom
volume	78.0	Å³ per cell

VASP calculation (GGA-PBE) on crystalline NaPrGe at its relaxed geometry.

a = 5.019 Å, b = 5.019 Å, c = 5.019 Å
α = 60.00°, β = 60.00°, γ = 60.00°
Positions (direct):
Na 0.750 0.750 0.750
Pr 0.000 0.000 0.000
Ge 0.250 0.250 0.250

DFT total energy	-3.546	eV per atom
volume	89.4	Å³ per cell

VASP calculation (GGA-PBE) on crystalline NaPrGeTe3 at its relaxed geometry.

a = 7.654 Å, b = 7.654 Å, c = 12.095 Å
α = 90.00°, β = 90.00°, γ = 144.48°
Positions (direct):
Ge 0.975 0.025 0.750
Ge 0.025 0.975 0.250
Te 0.855 0.145 0.936
Te 0.145 0.855 0.064
Te 0.594 0.406 0.750
Te 0.406 0.594 0.250
Te 0.145 0.855 0.436
Te 0.855 0.145 0.564
Pr 0.500 0.500 0.500
Pr 0.500 0.500 0.000
Na 0.260 0.740 0.750
Na 0.740 0.260 0.250

DFT total energy	-4.125	eV per atom
volume	411.6	Å³ per cell